{
  "formula": "Dy2Y12Ho",
  "functional": "PBE",
  "state": "optimized geometry",
  "crystal_system": "tetragonal",
  "total_energy_ev_per_atom": -5.743,
  "formation_enthalpy_0k_mev_per_atom": 347.1,
  "cell": [[-0.642, -5.710, -2.872], [3.002, -2.818, 4.931], [-22.036, -3.318, 11.521]],
  "species": ["Dy", "Dy", "Dy", "Dy", "Y", "Y", "Y", "Y", "Y", "Y", "Y", "Y", "Y", "Y", "Y", "Y", "Y", "Y", "Y", "Y", "Y", "Y", "Y", "Y", "Y", "Y", "Y", "Y", "Ho", "Ho"],
  "fractional_positions": [[0.500, 0.000, 0.274], [0.000, 0.500, 0.274], [0.000, 0.500, 0.726], [0.500, 0.000, 0.726], [0.500, 0.500, 0.785], [0.000, 0.000, 0.785], [0.684, 0.816, 0.885], [0.184, 0.684, 0.885], [0.000, 0.000, 0.339], [0.316, 0.816, 0.115], [0.831, 0.331, 0.561], [0.500, 0.500, 0.339], [0.316, 0.184, 0.885], [0.816, 0.684, 0.115], [0.331, 0.169, 0.561], [0.669, 0.169, 0.439], [0.000, 0.000, 0.661], [0.169, 0.331, 0.439], [0.184, 0.316, 0.115], [0.831, 0.669, 0.439], [0.669, 0.831, 0.561], [0.000, 0.000, 0.215], [0.169, 0.669, 0.561], [0.500, 0.500, 0.661], [0.816, 0.316, 0.885], [0.500, 0.500, 0.215], [0.331, 0.831, 0.439], [0.684, 0.184, 0.115], [0.500, 0.000, 0.000], [0.000, 0.500, 0.000]]
}